1.
First-principles (PBE) data for a relaxed structure of HfBrN2, as listed in the Alexandria database.

## Properties
- Spin magnetization: 2.8 Bohr magnetons per cell
- Energy above the lowest structure with this stoichiometry: 1368.2 meV per atom
- Formation energy (no corrections): 1.05 eV per atom
- DFT total energy: -96.37 eV per cell

a b c (Å): 5.8422 5.8422 5.8422
angles (deg): 90.00 90.00 90.00
Closest atoms and distances in Å follow each position.
Space group Fm-3m (No. 225)
Inequivalent atoms, fractional coordinates:
Hf 0.0000 0.0000 0.0000 (multiplicity 4)  8 N 2.53
Br 0.0000 0.0000 0.5000 (multiplicity 4)  8 N 2.53
N 0.2500 0.2500 0.2500 (multiplicity 8)  4 Hf 2.53, 4 Br 2.53



2.
First-principles (PBE) data for a relaxed structure of LaCo2Rh, as listed in the Alexandria database.

## Properties
- Spin magnetization: 2.6 Bohr magnetons per cell
- DFT total energy: -26.12 eV per cell

a b c (Å): 4.1818 4.3297 4.4536
angles (deg): 90.00 100.57 90.00
Closest atoms and distances in Å follow each position.
Space group P2/m (No. 10)
Inequivalent atoms, fractional coordinates:
La 0.0000 0.0000 0.0000 (multiplicity 1)  2 Rh 2.76
Co 0.2592 0.5000 0.5961 (multiplicity 2)  2 Co 2.18-2.33
Rh 0.5000 0.0000 0.5000 (multiplicity 1)  4 Co 2.46